Entry 1:
PBE LaTc2, optimized geometry; energy above the most stable polymorph in this dataset = 320.9 meV per atom; magnetic moment = 0.0000 μB per atom; calculated density = 8.234 g/cm3; DOS at the Fermi energy = 0.68 states/eV per atom; energy of formation = 359.9 meV per atom
1.0
3.5978 0.0000 0.0000
0.0000 3.5978 0.0000
0.0000 0.0000 5.2175
La Tc
1 2
direct
0.0000 0.0000 0.0000
0.0000 0.5000 0.5000
0.5000 0.0000 0.5000

Entry 2:
PBE La3Tc5, optimized geometry; energy above the most stable polymorph in this dataset = 116.7 meV per atom; magnetic moment = 0.0000 μB per atom; calculated density = 9.319 g/cm3; DOS at the Fermi energy = 1.25 states/eV per atom; energy of formation = 478.2 meV per atom
1.0
3.5412 -5.0229 0.0000
3.5412 5.0229 0.0000
0.0000 0.0000 4.5415
La Tc
3 5
direct
0.0000 0.0000 0.0000
0.2537 0.7463 0.5000
0.7463 0.2537 0.5000
0.0000 0.5000 0.0000
0.2903 0.2903 0.5000
0.5000 0.0000 0.0000
0.5000 0.5000 0.0000
0.7097 0.7097 0.5000

Entry 3:
PBE LaTc5, optimized geometry; energy above the most stable polymorph in this dataset = 235.7 meV per atom; magnetic moment = 0.0000 μB per atom; calculated density = 10.596 g/cm3; DOS at the Fermi energy = 1.14 states/eV per atom; energy of formation = 441.9 meV per atom
1.0
2.5179 1.4537 4.4876
-2.5179 1.4537 4.4876
0.0000 -2.9074 4.4876
La Tc
1 5
direct
0.0000 0.0000 0.0000
0.1914 0.5000 0.8086
0.3281 0.3281 0.3281
0.5000 0.8086 0.1914
0.6719 0.6719 0.6719
0.8086 0.1914 0.5000

Entry 4:
PBE LaTc, optimized geometry; energy above the most stable polymorph in this dataset = 635.8 meV per atom; magnetic moment = 0.0000 μB per atom; calculated density = 8.654 g/cm3; DOS at the Fermi energy = 1.20 states/eV per atom; energy of formation = 666.6 meV per atom
1.0
3.4502 0.0000 0.0000
-1.7251 2.9880 0.0000
0.0000 0.0000 4.4095
La Tc
1 1
direct
0.0000 0.0000 0.0000
0.3333 0.6667 0.5000

Entry 5:
PBE LaTc5, optimized geometry; energy above the most stable polymorph in this dataset = 112.4 meV per atom; magnetic moment = 0.0000 μB per atom; calculated density = 9.855 g/cm3; DOS at the Fermi energy = 1.14 states/eV per atom; energy of formation = 318.7 meV per atom
1.0
4.2312 0.0000 0.0000
0.0000 1.4259 8.7819
0.0000 -1.4259 8.7819
La Tc
1 5
direct
0.0000 0.0000 0.0000
0.0000 0.3243 0.3243
0.0000 0.6891 0.6891
0.5000 0.2377 0.2377
0.5000 0.6048 0.6048
0.5000 0.8718 0.8718

Entry 6:
PBE LaTc, optimized geometry; energy above the most stable polymorph in this dataset = 385.8 meV per atom; magnetic moment = 0.0000 μB per atom; calculated density = 8.769 g/cm3; DOS at the Fermi energy = 1.46 states/eV per atom; energy of formation = 416.6 meV per atom
1.0
2.4069 -2.6391 0.0000
2.4069 2.6391 0.0000
-0.4346 0.0000 3.5314
La Tc
1 1
direct
0.0000 0.0000 0.0000
0.5000 0.5000 0.5000

Entry 7:
PBE La5Tc, optimized geometry; energy above the most stable polymorph in this dataset = 101.6 meV per atom; magnetic moment = 0.0000 μB per atom; calculated density = 6.919 g/cm3; DOS at the Fermi energy = 1.19 states/eV per atom; energy of formation = 160.6 meV per atom
1.0
2.1523 -7.3185 0.0000
2.1523 7.3185 0.0000
0.0000 0.0000 6.0375
La Tc
5 1
direct
0.0000 0.0000 0.0000
0.1278 0.8722 0.5000
0.3582 0.6418 0.0000
0.6418 0.3582 0.0000
0.8722 0.1278 0.5000
0.5000 0.5000 0.5000

Entry 8:
PBE LaTc, optimized geometry; energy above the most stable polymorph in this dataset = 201.1 meV per atom; magnetic moment = 0.0000 μB per atom; calculated density = 7.370 g/cm3; DOS at the Fermi energy = 0.91 states/eV per atom; energy of formation = 231.9 meV per atom
1.0
-2.0715 4.4825 2.8743
2.0715 -4.4825 2.8743
2.0715 4.4825 -2.8743
La Tc
2 2
direct
0.1915 0.0000 0.1915
0.8085 0.0000 0.8085
0.3137 0.8137 0.5000
0.5141 0.5141 0.0000

Entry 9:
PBE LaTc, optimized geometry; energy above the most stable polymorph in this dataset = 108.6 meV per atom; magnetic moment = 0.0000 μB per atom; calculated density = 8.290 g/cm3; DOS at the Fermi energy = 1.21 states/eV per atom; energy of formation = 139.4 meV per atom
1.0
3.2008 0.0000 0.0000
0.0000 3.2008 0.0000
0.0000 0.0000 9.2636
La Tc
2 2
direct
0.2500 0.2500 0.1897
0.7500 0.7500 0.8103
0.2500 0.2500 0.5693
0.7500 0.7500 0.4307

Entry 10:
PBE LaTc2, optimized geometry; energy above the most stable polymorph in this dataset = 236.3 meV per atom; magnetic moment = 0.0000 μB per atom; calculated density = 9.470 g/cm3; DOS at the Fermi energy = 1.00 states/eV per atom; energy of formation = 275.3 meV per atom
1.0
5.0695 -1.4802 0.0000
5.0695 1.4802 0.0000
-2.6589 0.0000 7.8260
La Tc
2 4
direct
0.1573 0.1573 0.1322
0.8427 0.8427 0.8678
0.1356 0.1356 0.5003
0.4427 0.4427 0.2785
0.5573 0.5573 0.7215
0.8644 0.8644 0.4997

Entry 11:
PBE La8Tc, optimized geometry; magnetic moment = 0.0001 μB per atom; calculated density = 6.955 g/cm3; DOS at the Fermi energy = 1.38 states/eV per atom; energy of formation = 163.5 meV per atom
1.0
-5.4719 5.4719 2.4108
5.4719 -5.4719 2.4108
5.4719 5.4719 -2.4108
La Tc
8 1
direct
0.0000 0.3284 0.3284
0.0000 0.6716 0.6716
0.3284 0.0000 0.3284
0.3514 0.3514 0.7028
0.3514 0.6486 0.0000
0.6486 0.3514 0.0000
0.6486 0.6486 0.2972
0.6716 0.0000 0.6716
0.0000 0.0000 0.0000

Entry 12:
PBE La5Tc4, optimized geometry; energy above the most stable polymorph in this dataset = 0.0 meV per atom; magnetic moment = 0.0000 μB per atom; calculated density = 8.410 g/cm3; DOS at the Fermi energy = 1.08 states/eV per atom; energy of formation = 372.9 meV per atom
1.0
8.7422 0.0000 0.0000
-4.3711 7.5710 0.0000
0.0000 0.0000 6.4827
La Tc
10 8
direct
0.0000 0.2746 0.2500
0.0000 0.7254 0.7500
0.2746 0.0000 0.2500
0.2746 0.2746 0.7500
0.3333 0.6667 0.0000
0.3333 0.6667 0.5000
0.6667 0.3333 0.0000
0.6667 0.3333 0.5000
0.7254 0.0000 0.7500
0.7254 0.7254 0.2500
0.0000 0.0000 0.0000
0.0000 0.0000 0.5000
0.0000 0.3807 0.7500
0.0000 0.6193 0.2500
0.3807 0.0000 0.7500
0.3807 0.3807 0.2500
0.6193 0.0000 0.2500
0.6193 0.6193 0.7500

Entry 13:
PBE LaTc, optimized geometry; energy above the most stable polymorph in this dataset = 81.4 meV per atom; magnetic moment = 0.0001 μB per atom; calculated density = 7.008 g/cm3; DOS at the Fermi energy = 1.48 states/eV per atom; energy of formation = 112.2 meV per atom
1.0
4.2790 0.0000 0.0000
-2.1395 3.7057 0.0000
0.0000 0.0000 14.1602
La Tc
4 4
direct
0.3333 0.6667 0.1055
0.3333 0.6667 0.3945
0.6667 0.3333 0.6055
0.6667 0.3333 0.8945
0.0000 0.0000 0.2500
0.0000 0.0000 0.7500
0.3333 0.6667 0.7500
0.6667 0.3333 0.2500

Entry 14:
PBE LaTc2, optimized geometry; energy above the most stable polymorph in this dataset = 0.0 meV per atom; magnetic moment = 0.0000 μB per atom; calculated density = 8.711 g/cm3; DOS at the Fermi energy = 0.63 states/eV per atom; energy of formation = 39.0 meV per atom
1.0
-2.1523 3.7251 3.9815
2.1523 -3.7251 3.9815
2.1523 3.7251 -3.9815
La Tc
2 4
direct
0.3172 0.0672 0.2500
0.6828 0.9328 0.7500
0.0802 0.6661 0.4140
0.2479 0.3339 0.9140
0.7521 0.6661 0.0860
0.9198 0.3339 0.5860

Entry 15:
PBE La5Tc, optimized geometry; energy above the most stable polymorph in this dataset = 8.5 meV per atom; magnetic moment = 0.0000 μB per atom; calculated density = 6.865 g/cm3; DOS at the Fermi energy = 1.20 states/eV per atom; energy of formation = 67.5 meV per atom
1.0
3.5942 0.0000 0.0000
0.0000 3.5942 0.0000
0.0000 0.0000 14.8403
La Tc
5 1
direct
0.0000 0.0000 0.0000
0.0000 0.0000 0.3830
0.0000 0.0000 0.6170
0.5000 0.5000 0.1754
0.5000 0.5000 0.8246
0.5000 0.5000 0.5000

Entry 16:
PBE LaTc, optimized geometry; energy above the most stable polymorph in this dataset = 323.5 meV per atom; magnetic moment = 0.0003 μB per atom; calculated density = 7.243 g/cm3; DOS at the Fermi energy = 1.59 states/eV per atom; energy of formation = 354.3 meV per atom
1.0
3.5661 0.0000 0.0000
0.0000 3.5661 0.0000
0.0000 0.0000 8.5424
La Tc
2 2
direct
0.2500 0.2500 0.1931
0.7500 0.7500 0.8069
0.2500 0.7500 0.5000
0.7500 0.2500 0.5000

Entry 17:
PBE LaTc2, optimized geometry; energy above the most stable polymorph in this dataset = 30.9 meV per atom; magnetic moment = 0.0000 μB per atom; calculated density = 9.401 g/cm3; DOS at the Fermi energy = 1.20 states/eV per atom; energy of formation = 70.0 meV per atom
1.0
5.5662 0.0000 0.0000
-2.7831 4.8205 0.0000
0.0000 0.0000 8.8189
La Tc
4 8
direct
0.3333 0.6667 0.0643
0.3333 0.6667 0.4357
0.6667 0.3333 0.5643
0.6667 0.3333 0.9357
0.0000 0.0000 0.0000
0.0000 0.0000 0.5000
0.1699 0.3398 0.7500
0.1699 0.8301 0.7500
0.3398 0.1699 0.2500
0.6602 0.8301 0.7500
0.8301 0.1699 0.2500
0.8301 0.6602 0.2500

Entry 18:
PBE LaTc2, optimized geometry; energy above the most stable polymorph in this dataset = 266.9 meV per atom; magnetic moment = 0.0000 μB per atom; calculated density = 8.517 g/cm3; DOS at the Fermi energy = 0.99 states/eV per atom; energy of formation = 305.9 meV per atom
1.0
-1.5761 1.9276 5.3729
1.5761 -1.9276 5.3729
1.5761 1.9276 -5.3729
La Tc
1 2
direct
0.0000 0.0000 0.0000
0.2718 0.2718 0.0000
0.7282 0.7282 0.0000

Entry 19:
PBE LaTc, optimized geometry; energy above the most stable polymorph in this dataset = 144.9 meV per atom; magnetic moment = 0.0000 μB per atom; calculated density = 7.449 g/cm3; DOS at the Fermi energy = 1.40 states/eV per atom; energy of formation = 175.7 meV per atom
1.0
5.0029 0.0000 0.0000
-2.5015 4.3327 0.0000
0.0000 0.0000 4.8726
La Tc
2 2
direct
0.3333 0.6667 0.2500
0.6667 0.3333 0.7500
0.0000 0.0000 0.0000
0.0000 0.0000 0.5000

Entry 20:
PBE La3Tc5, optimized geometry; energy above the most stable polymorph in this dataset = 123.2 meV per atom; magnetic moment = 0.0001 μB per atom; calculated density = 7.916 g/cm3; DOS at the Fermi energy = 1.34 states/eV per atom; energy of formation = 484.7 meV per atom
1.0
9.5661 0.0000 0.0000
-4.7830 8.2845 0.0000
0.0000 0.0000 4.8000
La Tc
6 10
direct
0.0000 0.3783 0.2500
0.0000 0.6217 0.7500
0.3783 0.0000 0.2500
0.3783 0.3783 0.7500
0.6217 0.0000 0.7500
0.6217 0.6217 0.2500
0.0000 0.1473 0.7500
0.0000 0.8527 0.2500
0.1473 0.0000 0.7500
0.1473 0.1473 0.2500
0.3333 0.6667 0.0000
0.3333 0.6667 0.5000
0.6667 0.3333 0.0000
0.6667 0.3333 0.5000
0.8527 0.0000 0.2500
0.8527 0.8527 0.7500